No. 1
A plane-wave DFT calculation with PBEsol was carried out for a relaxed Li2CaAg crystal.

Geometry as CIF:
```
data_Li2CaAg
_chemical_formula_sum 'Li2 Ca1 Ag1'
_space_group_name_H-M_alt 'P 4 m m'
_space_group_IT_number 99
_cell_length_a 3.570
_cell_length_b 3.570
_cell_length_c 6.933
_cell_angle_alpha 90.00
_cell_angle_beta 90.00
_cell_angle_gamma 90.00
loop_
_space_group_symop_operation_xyz
'x,y,z'
'-y,x,z'
'-x,-y,z'
'y,-x,z'
'-x,y,z'
'y,x,z'
'x,-y,z'
'-y,-x,z'
loop_
_atom_site_label
_atom_site_fract_x
_atom_site_fract_y
_atom_site_fract_z
_atom_site_occupancy
Li1 0.000 0.000 0.000 1
Li2 0.500 0.500 0.209 1
Ca1 0.000 0.000 0.552 1
Ag1 0.500 0.500 0.816 1
```

Summary:
* offset from the most stable computed form: 0.000 eV/atom
* E_form: -0.12 eV/atom
* density of states at the Fermi level: 2.50 states/eV per cell
* total magnetization: 0.00 μB/cell

---

No. 2
A plane-wave DFT calculation with PBEsol was carried out for a relaxed Li3CaAg crystal.

Geometry as CIF:
```
data_Li3CaAg
_chemical_formula_sum 'Li3 Ca1 Ag1'
_space_group_name_H-M_alt 'P m -3 m'
_space_group_IT_number 221
_space_group_name_Hall '-P 4 2 3'
_cell_length_a 4.941
_cell_length_b 4.941
_cell_length_c 4.941
_cell_angle_alpha 90.00
_cell_angle_beta 90.00
_cell_angle_gamma 90.00
loop_
_atom_site_label
_atom_site_fract_x
_atom_site_fract_y
_atom_site_fract_z
_atom_site_occupancy
Li1 0.000 0.000 0.500 1
Ca1 0.500 0.500 0.500 1
Ag1 0.000 0.000 0.000 1
```

Summary:
* E_form: 0.03 eV/atom
* density of states at the Fermi level: 2.52 states/eV per cell
* total magnetization: 0.00 μB/cell

---

No. 3
A plane-wave DFT calculation with PBEsol was carried out for a relaxed LiCaAg crystal.

Geometry as CIF:
```
data_LiCaAg
_chemical_formula_sum 'Li2 Ca2 Ag2'
_space_group_name_H-M_alt 'I 4 m m'
_space_group_IT_number 107
_space_group_name_Hall 'I 4 -2'
_cell_length_a 3.605
_cell_length_b 3.605
_cell_length_c 10.253
_cell_angle_alpha 90.00
_cell_angle_beta 90.00
_cell_angle_gamma 90.00
loop_
_atom_site_label
_atom_site_fract_x
_atom_site_fract_y
_atom_site_fract_z
_atom_site_occupancy
Li1 0.000 0.000 0.000 1
Ca1 0.000 0.000 0.709 1
Ag1 0.000 0.000 0.391 1
```

Summary:
* offset from the most stable computed form: 0.000 eV/atom
* E_form: -0.16 eV/atom
* density of states at the Fermi level: 3.29 states/eV per cell
* total magnetization: 0.00 μB/cell

---

No. 4
A plane-wave DFT calculation with PBEsol was carried out for a relaxed Ca2MgAg crystal.

Geometry as CIF:
```
data_Ca2MgAg
_chemical_formula_sum 'Ca4 Mg2 Ag2'
_space_group_name_H-M_alt 'A m m 2'
_space_group_IT_number 38
_cell_length_a 4.679
_cell_length_b 4.129
_cell_length_c 11.846
_cell_angle_alpha 90.00
_cell_angle_beta 90.00
_cell_angle_gamma 90.00
loop_
_space_group_symop_operation_xyz
'x,y,z'
'-x,-y,z'
'-x,y,z'
'x,-y,z'
'x,y+1/2,z+1/2'
'-x,-y+1/2,z+1/2'
'-x,y+1/2,z+1/2'
'x,-y+1/2,z+1/2'
loop_
_atom_site_label
_atom_site_fract_x
_atom_site_fract_y
_atom_site_fract_z
_atom_site_occupancy
Ca1 0.000 0.000 0.000 1
Ca2 0.500 0.000 0.300 1
Mg1 0.000 0.000 0.713 1
Ag1 0.500 0.000 0.581 1
```

Summary:
* E_form: -0.15 eV/atom
* density of states at the Fermi level: 5.56 states/eV per cell
* total magnetization: 0.00 μB/cell

---

No. 5
A plane-wave DFT calculation with PBEsol was carried out for a relaxed Ca2MgAg2 crystal.

Geometry as CIF:
```
data_Ca2MgAg2
_chemical_formula_sum 'Ca4 Mg2 Ag4'
_space_group_name_H-M_alt 'P 4/m b m'
_space_group_IT_number 127
_space_group_name_Hall '-P 4 2ab'
_cell_length_a 7.713
_cell_length_b 7.713
_cell_length_c 4.204
_cell_angle_alpha 90.00
_cell_angle_beta 90.00
_cell_angle_gamma 90.00
loop_
_atom_site_label
_atom_site_fract_x
_atom_site_fract_y
_atom_site_fract_z
_atom_site_occupancy
Ca1 0.171 0.329 0.000 1
Mg1 0.000 0.000 0.500 1
Ag1 0.129 0.629 0.500 1
```

Summary:
* offset from the most stable computed form: 0.000 eV/atom
* E_form: -0.27 eV/atom
* density of states at the Fermi level: 5.21 states/eV per cell
* total magnetization: 0.00 μB/cell

---

No. 6
A plane-wave DFT calculation with PBEsol was carried out for a relaxed Ca2MgAg crystal.

Geometry as CIF:
```
data_Ca2MgAg
_chemical_formula_sum 'Ca2 Mg1 Ag1'
_space_group_name_H-M_alt 'P 4 m m'
_space_group_IT_number 99
_cell_length_a 3.644
_cell_length_b 3.644
_cell_length_c 8.305
_cell_angle_alpha 90.00
_cell_angle_beta 90.00
_cell_angle_gamma 90.00
loop_
_space_group_symop_operation_xyz
'x,y,z'
'-y,x,z'
'-x,-y,z'
'y,-x,z'
'-x,y,z'
'y,x,z'
'x,-y,z'
'-y,-x,z'
loop_
_atom_site_label
_atom_site_fract_x
_atom_site_fract_y
_atom_site_fract_z
_atom_site_occupancy
Ca1 0.000 0.000 0.000 1
Ca2 0.500 0.500 0.353 1
Mg1 0.000 0.000 0.616 1
Ag1 0.500 0.500 0.770 1
```

Summary:
* E_form: -0.15 eV/atom
* density of states at the Fermi level: 2.70 states/eV per cell
* total magnetization: 0.00 μB/cell

---

No. 7
A plane-wave DFT calculation with PBEsol was carried out for a relaxed Ca2MgAg crystal.

Geometry as CIF:
```
data_Ca2MgAg
_chemical_formula_sum 'Ca6 Mg3 Ag3'
_space_group_name_H-M_alt 'R 3 m'
_space_group_IT_number 160
_space_group_name_Hall 'R 3 -2"'
_cell_length_a 3.7999
_cell_length_b 3.7999
_cell_length_c 29.0694
_cell_angle_alpha 90.00
_cell_angle_beta 90.00
_cell_angle_gamma 120.00
loop_
_atom_site_label
_atom_site_fract_x
_atom_site_fract_y
_atom_site_fract_z
_atom_site_occupancy
Ca1 0.0000 0.0000 0.0000 1
Ca2 0.0000 0.0000 0.2202 1
Mg1 0.0000 0.0000 0.4614 1
Ag1 0.0000 0.0000 0.7379 1
```

Summary:
* E_form: 0.01 eV/atom
* density of states at the Fermi level: 8.23 states/eV per cell
* total magnetization: 0.00 μB/cell

---

No. 8
A plane-wave DFT calculation with PBEsol was carried out for a relaxed Ca2MgAg crystal.

Geometry as CIF:
```
data_Ca2MgAg
_chemical_formula_sum 'Ca2 Mg1 Ag1'
_space_group_name_H-M_alt 'P 4/m m m'
_space_group_IT_number 123
_space_group_name_Hall '-P 4 2'
_cell_length_a 3.651
_cell_length_b 3.651
_cell_length_c 8.155
_cell_angle_alpha 90.00
_cell_angle_beta 90.00
_cell_angle_gamma 90.00
loop_
_atom_site_label
_atom_site_fract_x
_atom_site_fract_y
_atom_site_fract_z
_atom_site_occupancy
Ca1 0.000 0.000 0.220 1
Mg1 0.500 0.500 0.500 1
Ag1 0.500 0.500 0.000 1
```

Summary:
* E_form: -0.18 eV/atom
* density of states at the Fermi level: 3.56 states/eV per cell
* total magnetization: 0.00 μB/cell

---

No. 9
A plane-wave DFT calculation with PBEsol was carried out for a relaxed CaMgAg2 crystal.

Geometry as CIF:
```
data_CaMgAg2
_chemical_formula_sum 'Ca2 Mg2 Ag4'
_space_group_name_H-M_alt 'I -4 m 2'
_space_group_IT_number 119
_space_group_name_Hall 'I -4 -2'
_cell_length_a 4.295
_cell_length_b 4.295
_cell_length_c 8.973
_cell_angle_alpha 90.00
_cell_angle_beta 90.00
_cell_angle_gamma 90.00
loop_
_atom_site_label
_atom_site_fract_x
_atom_site_fract_y
_atom_site_fract_z
_atom_site_occupancy
Ca1 0.000 0.000 0.000 1
Mg1 0.000 0.500 0.250 1
Ag1 0.000 0.000 0.500 1
Ag2 0.000 0.500 0.750 1
```

Summary:
* E_form: -0.16 eV/atom
* density of states at the Fermi level: 2.86 states/eV per cell
* total magnetization: 0.00 μB/cell

---

No. 10
A plane-wave DFT calculation with PBEsol was carried out for a relaxed CaMgAg2 crystal.

Geometry as CIF:
```
data_CaMgAg2
_chemical_formula_sum 'Ca1 Mg1 Ag2'
_space_group_name_H-M_alt 'P 4/m m m'
_space_group_IT_number 123
_space_group_name_Hall '-P 4 2'
_cell_length_a 4.933
_cell_length_b 4.933
_cell_length_c 3.462
_cell_angle_alpha 90.00
_cell_angle_beta 90.00
_cell_angle_gamma 90.00
loop_
_atom_site_label
_atom_site_fract_x
_atom_site_fract_y
_atom_site_fract_z
_atom_site_occupancy
Ca1 0.000 0.000 0.000 1
Mg1 0.500 0.500 0.000 1
Ag1 0.000 0.500 0.500 1
```

Summary:
* E_form: -0.19 eV/atom
* density of states at the Fermi level: 1.77 states/eV per cell
* total magnetization: 0.00 μB/cell

---

No. 11
A plane-wave DFT calculation with PBEsol was carried out for a relaxed CaMg3Ag crystal.

Geometry as CIF:
```
data_CaMg3Ag
_chemical_formula_sum 'Ca1 Mg3 Ag1'
_space_group_name_H-M_alt 'P m -3 m'
_space_group_IT_number 221
_space_group_name_Hall '-P 4 2 3'
_cell_length_a 5.914
_cell_length_b 5.914
_cell_length_c 5.914
_cell_angle_alpha 90.00
_cell_angle_beta 90.00
_cell_angle_gamma 90.00
loop_
_atom_site_label
_atom_site_fract_x
_atom_site_fract_y
_atom_site_fract_z
_atom_site_occupancy
Ca1 0.000 0.000 0.000 1
Mg1 0.000 0.000 0.500 1
Ag1 0.500 0.500 0.500 1
```

Summary:
* E_form: 1.13 eV/atom
* density of states at the Fermi level: 2.68 states/eV per cell
* total magnetization: 0.00 μB/cell

---

No. 12
A plane-wave DFT calculation with PBEsol was carried out for a relaxed Ca2MgAg crystal.

Geometry as CIF:
```
data_Ca2MgAg
_chemical_formula_sum 'Ca4 Mg2 Ag2'
_space_group_name_H-M_alt 'C 1 m 1'
_space_group_IT_number 8
_cell_length_a 12.247
_cell_length_b 3.580
_cell_length_c 5.466
_cell_angle_alpha 90.00
_cell_angle_beta 113.91
_cell_angle_gamma 90.00
loop_
_space_group_symop_operation_xyz
'x,y,z'
'x,-y,z'
'x+1/2,y+1/2,z'
'x+1/2,-y+1/2,z'
loop_
_atom_site_label
_atom_site_fract_x
_atom_site_fract_y
_atom_site_fract_z
_atom_site_occupancy
Ca1 0.000 0.000 0.000 1
Ca2 0.201 0.000 0.686 1
Mg1 0.418 0.000 0.421 1
Ag1 0.229 0.500 0.204 1
```

Summary:
* E_form: -0.15 eV/atom
* density of states at the Fermi level: 6.48 states/eV per cell
* total magnetization: 0.00 μB/cell

---

No. 13
A plane-wave DFT calculation with PBEsol was carried out for a relaxed CaMgAg4 crystal.

Geometry as CIF:
```
data_CaMgAg4
_chemical_formula_sum 'Ca4 Mg4 Ag16'
_space_group_name_H-M_alt 'F -4 3 m'
_space_group_IT_number 216
_space_group_name_Hall 'F -4 2 3'
_cell_length_a 7.821
_cell_length_b 7.821
_cell_length_c 7.821
_cell_angle_alpha 90.00
_cell_angle_beta 90.00
_cell_angle_gamma 90.00
loop_
_atom_site_label
_atom_site_fract_x
_atom_site_fract_y
_atom_site_fract_z
_atom_site_occupancy
Ca1 0.000 0.000 0.000 1
Mg1 0.250 0.250 0.750 1
Ag1 0.125 0.125 0.375 1
```

Summary:
* E_form: -0.22 eV/atom
* density of states at the Fermi level: 11.60 states/eV per cell
* total magnetization: 0.00 μB/cell